Compound: RbBa2As2Se6
Source: the Alexandria database
Functional: PBE
Structure: optimized geometry

## Properties
N(E_F) ... 1.01 states/eV/f.u.
E_tot ... -4.1480 eV/atom
V ... 35.66 Å³/atom

Cell lengths 6.6036, 6.6293, 9.4305 Å; angles 88.39, 88.84, 71.90 degrees
Closest atoms and distances in Å follow each position.
Space group P-1 (No. 2)
Inequivalent atoms, fractional coordinates:
Rb  0.0000  0.0000  0.0000  2 Se 3.41
Ba  0.3471  0.3390  0.6355  7 Se 3.28-3.46
As  0.2364  0.3489  0.2197  3 Se 2.42-2.43
Se  0.1450  0.6769  0.3506  1 As 2.43
Se  0.2886  0.4761  0.9830  1 As 2.42
Se  0.4092  0.8205  0.6871  1 As 2.43